# Mg3NbCu

A relaxed structure of Mg3NbCu (GGA-PBE, the Alexandria database).

The structure belongs to space group Pm-3m (No. 221); the cell edges are 4.713, 4.713 and 4.713 Å and the angles 90.00°, 90.00° and 90.00°. The asymmetric unit holds Mg at (0.000, 0.000, 0.500), Nb at (0.500, 0.500, 0.500) and Cu at (0.000, 0.000, 0.000).

The energy above the lowest structure with this stoichiometry comes out at 0 meV/atom. For the density of states at the Fermi level, the calculation gives 0.4142 states/eV/atom. The calculation puts the formation energy at 0.63 eV per atom. The total moment is 1.7 μB/f.u.

# Mg3NbCu

A relaxed structure of Mg3NbCu (GGA-PBE, the Alexandria database).

The structure belongs to space group Pm-3m (No. 221); the cell edges are 5.396, 5.396 and 5.396 Å and the angles 90.00°, 90.00° and 90.00°. The asymmetric unit holds Mg at (0.000, 0.000, 0.500), Nb at (0.000, 0.000, 0.000) and Cu at (0.500, 0.500, 0.500).

The energy above the lowest structure with this stoichiometry comes out at 786 meV/atom. For the density of states at the Fermi level, the calculation gives 0.5403 states/eV/atom. The calculation puts the formation energy at 1.42 eV per atom. The total moment is 3.6 μB/f.u.

Q: Which value of total moment does entry 1 give?
A: 1.7 μB/f.u.